Here is a relaxed Zn2HgTe crystal from Alexandria. Energies are from GGA-PBE.

Cell lengths 5.005, 4.136, 5.011 Å; angles 90.00, 111.45, 90.00 degrees
Fractional positions:
Zn (0.000, 0.000, 0.000)
Zn (0.201, 0.500, 0.796)
Hg (0.454, 0.000, 0.546)
Te (0.779, 0.500, 0.219)

Results
As for the relative energy among the computed polymorphs: 0.0441 eV per atom. The value obtained for the total magnetization is 0.00 μB per cell. The calculation puts the formation energy without anion corrections at 0.02 eV/atom.

Here is a relaxed HfGaH2 crystal from Alexandria. Energies are from GGA-PBE.

Cell lengths 6.567, 6.567, 6.567 Å; angles 144.11, 144.11, 51.67 degrees
Fractional positions:
Hf (0.000, 0.000, 0.000)
Hf (0.750, 0.250, 0.500)
Ga (0.250, 0.750, 0.500)
Ga (0.500, 0.500, 0.000)
H (0.033, 0.625, 0.908)
H (0.375, 0.283, 0.408)
H (0.717, 0.125, 0.092)
H (0.875, 0.967, 0.592)

Results
As for the relative energy among the computed polymorphs: 0.2837 eV per atom. The value obtained for the total magnetization is 0.00 μB per cell.

Here is a relaxed Ta2TlFe2 crystal from Alexandria. Energies are from GGA-PBE.

Cell lengths 7.258, 7.258, 3.015 Å; angles 90.00, 90.00, 90.00 degrees
Fractional positions:
Ta (0.156, 0.344, 0.000)
Ta (0.344, 0.844, 0.000)
Ta (0.656, 0.156, 0.000)
Ta (0.844, 0.656, 0.000)
Tl (0.000, 0.000, 0.500)
Tl (0.500, 0.500, 0.500)
Fe (0.131, 0.631, 0.500)
Fe (0.369, 0.131, 0.500)
Fe (0.631, 0.869, 0.500)
Fe (0.869, 0.369, 0.500)

Results
The value obtained for the total magnetization is 0.00 μB per cell. Its energy of formation from the pure elements is 0.1850 eV/atom.

Here is a relaxed HPd3Pt crystal from Alexandria. Energies are from GGA-PBE.

Cell lengths 4.011, 3.989, 8.023 Å; angles 90.00, 90.07, 90.00 degrees
Fractional positions:
H (0.016, 0.250, 0.385)
H (0.984, 0.750, 0.615)
Pd (0.000, 0.250, 0.123)
Pd (0.000, 0.250, 0.628)
Pd (0.000, 0.750, 0.372)
Pd (0.000, 0.750, 0.877)
Pd (0.499, 0.750, 0.632)
Pd (0.501, 0.250, 0.368)
Pt (0.500, 0.250, 0.881)
Pt (0.500, 0.750, 0.119)

Results
As for the relative energy among the computed polymorphs: 0.0000 eV per atom. The value obtained for the total magnetization is 0.00 μB per cell.

Here is a relaxed Sm6TlSn2 crystal from Alexandria. Energies are from GGA-PBE.

Cell lengths 8.505, 8.505, 4.503 Å; angles 90.00, 90.00, 120.00 degrees
Fractional positions:
Sm (0.000, 0.409, 0.000)
Sm (0.000, 0.741, 0.500)
Sm (0.259, 0.259, 0.500)
Sm (0.409, 0.000, 0.000)
Sm (0.591, 0.591, 0.000)
Sm (0.741, 0.000, 0.500)
Tl (0.000, 0.000, 0.000)
Sn (0.333, 0.667, 0.500)
Sn (0.667, 0.333, 0.500)

Results
The value obtained for the total magnetization is 4.96 μB per cell. Its energy of formation from the pure elements is -0.4621 eV/atom.

Here is a relaxed HfMoSCl2 crystal from Alexandria. Energies are from GGA-PBE.

Cell lengths 4.955, 4.955, 4.976 Å; angles 90.00, 90.00, 90.00 degrees
Fractional positions:
Hf (0.000, 0.000, 0.000)
Mo (0.500, 0.500, 0.500)
S (0.000, 0.000, 0.500)
Cl (0.000, 0.500, 0.000)
Cl (0.500, 0.000, 0.000)

Results
As for the relative energy among the computed polymorphs: 0.0000 eV per atom. The value obtained for the total magnetization is 4.99 μB per cell. The calculation puts the formation energy without anion corrections at -0.09 eV/atom.

Here is a relaxed BeCr2As crystal from Alexandria. Energies are from GGA-PBE.

Cell lengths 3.696, 3.696, 3.493 Å; angles 90.00, 90.00, 90.00 degrees
Fractional positions:
Be (0.000, 0.000, 0.000)
Cr (0.000, 0.500, 0.500)
Cr (0.500, 0.000, 0.500)
As (0.500, 0.500, 0.000)

Results
As for the relative energy among the computed polymorphs: 0.1640 eV per atom. The value obtained for the total magnetization is 3.51 μB per cell. Its energy of formation from the pure elements is 0.1685 eV/atom.

Here is a relaxed SiW3I crystal from Alexandria. Energies are from GGA-PBE.

Cell lengths 4.623, 4.623, 4.623 Å; angles 90.00, 90.00, 90.00 degrees
Fractional positions:
Si (0.000, 0.000, 0.000)
W (0.000, 0.000, 0.500)
W (0.000, 0.500, 0.000)
W (0.500, 0.000, 0.000)
I (0.500, 0.500, 0.500)

Results
As for the relative energy among the computed polymorphs: 0.0000 eV per atom. The value obtained for the total magnetization is 0.00 μB per cell. The calculation puts the formation energy without anion corrections at 1.74 eV/atom.